Entry from the Alexandria database: KInOs2 after structural relaxation (PBE).

Computed properties:
Energy relative to the elements, meV/atom: 1168
Mass density, Mg/m³: 11.37
DOS at the Fermi energy, states/eV/cell: 4.83
Space-group type: P4/mmm, No. 123
E, eV for the cell shown: -21.62

a = 2.8234 Å, b = 2.8234 Å, c = 9.7938 Å
α = 90.00°, β = 90.00°, γ = 90.00°
Last column: magnetic moment on the atom in μB.
Positions (direct):
1 K 0.5000 0.5000 0.7500  0.00
2 In 0.5000 0.5000 0.2500  0.00
3 Os 0.0000 0.0000 0.4616  0.20
4 Os 0.0000 0.0000 0.0384  0.20

---

Entry from the Alexandria database: Li3In3Pd after structural relaxation (PBE).

Computed properties:
Energy relative to the elements, meV/atom: -311
Mass density, Mg/m³: 5.61
DOS at the Fermi energy, states/eV/cell: 5.47
Space-group type: Cmmm, No. 65
E, eV for the cell shown: -42.65

a = 6.7090 Å, b = 6.7090 Å, c = 6.2045 Å
α = 90.00°, β = 90.00°, γ = 88.37°
Positions (direct):
1 Pd 0.2491 0.2491 0.9999
2 Li 0.6522 0.3478 0.0000
3 Li 0.3478 0.6522 0.0000
4 In 0.5001 0.9999 0.7545
5 Li 0.2700 0.2700 0.5003
6 In 0.0001 0.0001 0.2483
7 Pd 0.7509 0.7509 0.0001
8 In 0.4999 0.0001 0.2455
9 In 0.9999 0.9999 0.7517
10 Li 0.7300 0.7300 0.4997
11 In 0.0001 0.4999 0.2455
12 Li 0.2787 0.7213 0.5000
13 Li 0.7213 0.2787 0.5000
14 In 0.9999 0.5001 0.7545

---

Entry from the Alexandria database: Rb2HoBr5 after structural relaxation (PBE).

Computed properties:
Mass density, Mg/m³: 3.15
DOS at the Fermi energy, states/eV/cell: 0.00
Energy relative to the elements, uncorrected, meV/atom: -1807
Relative energy among the computed polymorphs, eV per formula unit: 0.20
Space-group type: Cmcm, No. 63
E, eV for the cell shown: -58.67

a = 5.7206 Å, b = 9.2258 Å, c = 15.4730 Å
α = 90.00°, β = 90.00°, γ = 108.06°
Positions (direct):
1 Br 0.2667 0.5334 0.3817
2 Br 0.2667 0.5334 0.1183
3 Rb 0.1427 0.2853 0.9351
4 Ho 0.1550 0.3100 0.2500
5 Rb 0.8573 0.7147 0.0649
6 Br 0.7333 0.4666 0.8817
7 Ho 0.8450 0.6900 0.7500
8 Br 0.6714 0.3429 0.2500
9 Br 0.9558 0.9116 0.6253
10 Br 0.0442 0.0884 0.3747
11 Br 0.0442 0.0884 0.1253
12 Br 0.7333 0.4666 0.6183
13 Rb 0.1427 0.2853 0.5649
14 Rb 0.8573 0.7147 0.4351
15 Br 0.9558 0.9116 0.8747
16 Br 0.3286 0.6571 0.7500

---

Entry from the Alexandria database: ZrCoSbI2 after structural relaxation (PBE).

Computed properties:
Mass density, Mg/m³: 6.74
DOS at the Fermi energy, states/eV/cell: 6.15
Energy relative to the elements, uncorrected, meV/atom: 556
Relative energy among the computed polymorphs, eV per formula unit: 0.00
Space-group type: P4/mmm, No. 123
E, eV for the cell shown: -20.10

a = 5.0514 Å, b = 5.0514 Å, c = 5.0756 Å
α = 90.00°, β = 90.00°, γ = 90.00°
Positions (direct):
1 Zr 0.5000 0.5000 0.5000
2 I 0.5000 0.0000 0.0000
3 Sb 0.0000 0.0000 0.5000
4 I 0.0000 0.5000 0.0000
5 Co 0.0000 0.0000 0.0000